1.
Density functional theory data (GGA-PBE) for PmPrRuPt after structural relaxation.

Cell and atoms, written as CIF:
```
data_PmPrRuPt
_cell_length_a 7.1280
_cell_length_b 7.1280
_cell_length_c 7.1280
_cell_angle_alpha 90.00
_cell_angle_beta 90.00
_cell_angle_gamma 90.00
_space_group_name_H-M_alt 'F -4 3 m'
_space_group_IT_number 216
_space_group_name_Hall 'F -4 2 3'
loop_
_atom_site_label
_atom_site_type_symbol
_atom_site_fract_x
_atom_site_fract_y
_atom_site_fract_z
_atom_site_occupancy
Pm1 Pm 0.0000 0.0000 0.0000 1
Pr1 Pr 0.0000 0.0000 0.5000 1
Ru1 Ru 0.2500 0.2500 0.2500 1
Pt1 Pt 0.2500 0.2500 0.7500 1
```

Results
D(E_F) ... 3.29 states/eV/f.u.
M_tot ... 0.00 μB/cell
Energy of formation ... -2.20 eV per formula unit
V ... 22.63 A^3/atom

2.
Density functional theory data (GGA-PBE) for SrHgOsPt2 after structural relaxation.

Cell and atoms, written as CIF:
```
data_SrHgOsPt2
_cell_length_a 5.2589
_cell_length_b 5.2589
_cell_length_c 5.5486
_cell_angle_alpha 90.00
_cell_angle_beta 90.00
_cell_angle_gamma 90.00
_space_group_name_H-M_alt 'P 4/m m m'
_space_group_IT_number 123
_space_group_name_Hall '-P 4 2'
loop_
_atom_site_label
_atom_site_type_symbol
_atom_site_fract_x
_atom_site_fract_y
_atom_site_fract_z
_atom_site_occupancy
Sr1 Sr 0.0000 0.0000 0.0000 1
Hg1 Hg 0.0000 0.0000 0.5000 1
Os1 Os 0.5000 0.5000 0.5000 1
Pt1 Pt 0.0000 0.5000 0.0000 1
```

Results
D(E_F) ... 5.97 states/eV/f.u.
M_tot ... 3.74 μB/cell
Energy of formation ... 10.88 eV per formula unit
V ... 30.69 A^3/atom

3.
Density functional theory data (GGA-PBE) for RuPbC2 after structural relaxation.

Cell and atoms, written as CIF:
```
data_RuPbC2
_cell_length_a 5.2209
_cell_length_b 5.2209
_cell_length_c 9.8113
_cell_angle_alpha 90.00
_cell_angle_beta 90.00
_cell_angle_gamma 90.00
_space_group_name_H-M_alt 'I -4 2 d'
_space_group_IT_number 122
_space_group_name_Hall 'I -4 2bw'
loop_
_atom_site_label
_atom_site_type_symbol
_atom_site_fract_x
_atom_site_fract_y
_atom_site_fract_z
_atom_site_occupancy
Ru1 Ru 0.0000 0.0000 0.0000 1
Pb1 Pb 0.0000 0.0000 0.5000 1
C1 C 0.1386 0.2500 0.1250 1
```

Results
D(E_F) ... 0.93 states/eV/f.u.
M_tot ... 0.00 μB/cell
Energy of formation ... 4.27 eV per formula unit
V ... 16.71 A^3/atom

4.
Density functional theory data (GGA-PBE) for CaHf3Tl after structural relaxation.

Cell and atoms, written as CIF:
```
data_CaHf3Tl
_cell_length_a 5.0978
_cell_length_b 5.0978
_cell_length_c 5.0978
_cell_angle_alpha 90.00
_cell_angle_beta 90.00
_cell_angle_gamma 90.00
_space_group_name_H-M_alt 'P m -3 m'
_space_group_IT_number 221
_space_group_name_Hall '-P 4 2 3'
loop_
_atom_site_label
_atom_site_type_symbol
_atom_site_fract_x
_atom_site_fract_y
_atom_site_fract_z
_atom_site_occupancy
Ca1 Ca 0.0000 0.0000 0.0000 1
Hf1 Hf 0.0000 0.0000 0.5000 1
Tl1 Tl 0.5000 0.5000 0.5000 1
```

Results
D(E_F) ... 9.89 states/eV/f.u.
M_tot ... 0.00 μB/cell
ΔE to the lowest computed polymorph ... 3.04 eV per formula unit
Energy of formation ... 8.76 eV per formula unit
V ... 26.50 A^3/atom

5.
Density functional theory data (GGA-PBE) for ThInPb2 after structural relaxation.

Cell and atoms, written as CIF:
```
data_ThInPb2
_cell_length_a 3.4696
_cell_length_b 3.4696
_cell_length_c 36.3498
_cell_angle_alpha 90.00
_cell_angle_beta 90.00
_cell_angle_gamma 120.00
_space_group_name_H-M_alt 'R -3 m'
_space_group_IT_number 166
_space_group_name_Hall '-R 3 2"'
loop_
_atom_site_label
_atom_site_type_symbol
_atom_site_fract_x
_atom_site_fract_y
_atom_site_fract_z
_atom_site_occupancy
Th1 Th 0.0000 0.0000 0.0000 1
In1 In 0.0000 0.0000 0.5000 1
Pb1 Pb 0.0000 0.0000 0.0919 1
```

Results
D(E_F) ... 3.78 states/eV/f.u.
M_tot ... 0.00 μB/cell
ΔE to the lowest computed polymorph ... 1.78 eV per formula unit
Energy of formation ... 0.73 eV per formula unit
V ... 31.58 A^3/atom

6.
Density functional theory data (GGA-PBE) for SrOsPb2 after structural relaxation.

Cell and atoms, written as CIF:
```
data_SrOsPb2
_cell_length_a 4.6760
_cell_length_b 4.6760
_cell_length_c 17.8201
_cell_angle_alpha 90.00
_cell_angle_beta 90.00
_cell_angle_gamma 120.00
_space_group_name_H-M_alt 'R 3 m'
_space_group_IT_number 160
_space_group_name_Hall 'R 3 -2"'
loop_
_atom_site_label
_atom_site_type_symbol
_atom_site_fract_x
_atom_site_fract_y
_atom_site_fract_z
_atom_site_occupancy
Sr1 Sr 0.0000 0.0000 0.0000 1
Os1 Os 0.0000 0.0000 0.8173 1
Pb1 Pb 0.0000 0.0000 0.2134 1
Pb2 Pb 0.0000 0.0000 0.4406 1
```

Results
D(E_F) ... 3.34 states/eV/f.u.
M_tot ... 0.00 μB/cell
Energy of formation ... 0.94 eV per formula unit
V ... 28.12 A^3/atom

7.
Density functional theory data (GGA-PBE) for GeSN after structural relaxation.

Cell and atoms, written as CIF:
```
data_GeSN
_cell_length_a 5.0569
_cell_length_b 3.2259
_cell_length_c 6.2763
_cell_angle_alpha 90.00
_cell_angle_beta 101.81
_cell_angle_gamma 90.00
_space_group_name_H-M_alt 'C 1 m 1'
_space_group_IT_number 8
_space_group_name_Hall 'C -2y'
loop_
_atom_site_label
_atom_site_type_symbol
_atom_site_fract_x
_atom_site_fract_y
_atom_site_fract_z
_atom_site_occupancy
Ge1 Ge 0.0000 0.0000 0.0000 1
S1 S 0.2259 0.0000 0.5454 1
N1 N 0.2967 0.0000 0.8170 1
```

Results
D(E_F) ... 0.87 states/eV/f.u.
M_tot ... 0.00 μB/cell
ΔE to the lowest computed polymorph ... 1.20 eV per formula unit
Formation energy from raw total energies ... 466 meV per atom
V ... 16.70 A^3/atom

8.
Density functional theory data (GGA-PBE) for Ti3PtN after structural relaxation.

Cell and atoms, written as CIF:
```
data_Ti3PtN
_cell_length_a 5.7362
_cell_length_b 4.1144
_cell_length_c 6.4285
_cell_angle_alpha 90.00
_cell_angle_beta 114.56
_cell_angle_gamma 90.00
_space_group_name_H-M_alt 'P 1 2/m 1'
_space_group_IT_number 10
_space_group_name_Hall '-P 2y'
loop_
_atom_site_label
_atom_site_type_symbol
_atom_site_fract_x
_atom_site_fract_y
_atom_site_fract_z
_atom_site_occupancy
Ti1 Ti 0.0000 0.0000 0.0000 1
Ti2 Ti 0.1501 0.5000 0.7754 1
Ti3 Ti 0.2444 0.0000 0.4871 1
Ti4 Ti 0.5000 0.0000 0.0000 1
Pt1 Pt 0.3650 0.5000 0.2494 1
N1 N 0.1313 0.0000 0.7495 1
```

Results
D(E_F) ... 3.28 states/eV/f.u.
M_tot ... 0.00 μB/cell
Formation energy from raw total energies ... -1171 meV per atom
V ... 13.80 A^3/atom

9.
Density functional theory data (GGA-PBE) for CrCuCl after structural relaxation.

Cell and atoms, written as CIF:
```
data_CrCuCl
_cell_length_a 3.2744
_cell_length_b 3.2744
_cell_length_c 5.6797
_cell_angle_alpha 90.00
_cell_angle_beta 90.00
_cell_angle_gamma 120.00
_space_group_name_H-M_alt 'P 3 m 1'
_space_group_IT_number 156
_space_group_name_Hall 'P 3 -2"'
loop_
_atom_site_label
_atom_site_type_symbol
_atom_site_fract_x
_atom_site_fract_y
_atom_site_fract_z
_atom_site_occupancy
Cr1 Cr 0.0000 0.0000 0.0000 1
Cu1 Cu 0.6667 0.3333 0.3069 1
Cl1 Cl 0.3333 0.6667 0.7095 1
```

Results
D(E_F) ... 3.13 states/eV/f.u.
M_tot ... 4.01 μB/cell
ΔE to the lowest computed polymorph ... 0.00 eV per formula unit
Formation energy from raw total energies ... 158 meV per atom
V ... 17.58 A^3/atom

10.
Density functional theory data (GGA-PBE) for MoRhCl2 after structural relaxation.

Cell and atoms, written as CIF:
```
data_MoRhCl2
_cell_length_a 2.9318
_cell_length_b 4.3900
_cell_length_c 11.3084
_cell_angle_alpha 90.00
_cell_angle_beta 90.00
_cell_angle_gamma 90.00
_space_group_name_H-M_alt 'I m m 2'
_space_group_IT_number 44
_space_group_name_Hall 'I 2 -2'
loop_
_atom_site_label
_atom_site_type_symbol
_atom_site_fract_x
_atom_site_fract_y
_atom_site_fract_z
_atom_site_occupancy
Mo1 Mo 0.0000 0.0000 0.0000 1
Rh1 Rh 0.0000 0.5000 0.6841 1
Cl1 Cl 0.0000 0.0000 0.5202 1
Cl2 Cl 0.0000 0.5000 0.3091 1
```

Results
D(E_F) ... 4.12 states/eV/f.u.
M_tot ... 1.33 μB/cell
ΔE to the lowest computed polymorph ... 2.39 eV per formula unit
Formation energy from raw total energies ... 349 meV per atom
V ... 18.19 A^3/atom

11.
Density functional theory data (GGA-PBE) for LaIrW2 after structural relaxation.

Cell and atoms, written as CIF:
```
data_LaIrW2
_cell_length_a 6.6914
_cell_length_b 6.6914
_cell_length_c 6.6914
_cell_angle_alpha 90.00
_cell_angle_beta 90.00
_cell_angle_gamma 90.00
_space_group_name_H-M_alt 'F -4 3 m'
_space_group_IT_number 216
_space_group_name_Hall 'F -4 2 3'
loop_
_atom_site_label
_atom_site_type_symbol
_atom_site_fract_x
_atom_site_fract_y
_atom_site_fract_z
_atom_site_occupancy
La1 La 0.0000 0.0000 0.0000 1
Ir1 Ir 0.2500 0.2500 0.2500 1
W1 W 0.0000 0.0000 0.5000 1
W2 W 0.2500 0.2500 0.7500 1
```

Results
D(E_F) ... 3.83 states/eV/f.u.
M_tot ... 0.00 μB/cell
ΔE to the lowest computed polymorph ... 0.95 eV per formula unit
Energy of formation ... 1.82 eV per formula unit
V ... 18.73 A^3/atom

12.
Density functional theory data (GGA-PBE) for NaSm2Hg8 after structural relaxation.

Cell and atoms, written as CIF:
```
data_NaSm2Hg8
_cell_length_a 16.1403
_cell_length_b 5.0577
_cell_length_c 7.2555
_cell_angle_alpha 90.00
_cell_angle_beta 111.01
_cell_angle_gamma 90.00
_space_group_name_H-M_alt 'C 1 2/m 1'
_space_group_IT_number 12
_space_group_name_Hall '-C 2y'
loop_
_atom_site_label
_atom_site_type_symbol
_atom_site_fract_x
_atom_site_fract_y
_atom_site_fract_z
_atom_site_occupancy
Na1 Na 0.0000 0.0000 0.0000 1
Sm1 Sm 0.2086 0.5000 0.6682 1
Hg1 Hg 0.0186 0.5000 0.7255 1
Hg2 Hg 0.1069 0.0000 0.4332 1
Hg3 Hg 0.1550 0.5000 0.1778 1
Hg4 Hg 0.1588 0.0000 0.8865 1
```

Results
D(E_F) ... 5.12 states/eV/f.u.
M_tot ... 0.00 μB/cell
Energy of formation ... -3.07 eV per formula unit
V ... 25.13 A^3/atom